1.
This record from Alexandria via LeMat-Bulk describes an optimized crystal structure of Sc6GaIr5. The functional is PBE-GGA.

a b c (Å): 7.998 7.998 7.998
angles (deg): 146.36 132.82 59.19
Atoms (fractional coordinates):
Sc 0.079 0.331 0.748
Sc 0.245 0.000 0.245
Sc 0.416 0.669 0.748
Sc 0.584 0.331 0.252
Sc 0.755 0.000 0.755
Sc 0.921 0.669 0.252
Ga 0.500 0.500 0.000
Ir 0.000 0.500 0.500
Ir 0.167 0.167 0.000
Ir 0.335 0.835 0.500
Ir 0.665 0.165 0.500
Ir 0.833 0.833 0.000

DFT formation energy (eV per atom): -0.9443
Crystal system: orthorhombic
Uncorrected energy (eV for the cell shown): -96.65
Symmetry: No. 71
Magnetic moment (μB/f.u.): 0.00


2.
This record from Alexandria via LeMat-Bulk describes an optimized crystal structure of CaIn2Cl. The functional is PBE-GGA.

a b c (Å): 6.100 6.100 3.618
angles (deg): 90.00 90.00 121.64
Atoms (fractional coordinates):
Ca 0.000 0.000 0.000
In 0.000 0.500 0.500
In 0.500 0.000 0.500
Cl 0.500 0.500 0.000

Crystal system: orthorhombic
Uncorrected energy (eV for the cell shown): -11.40
Symmetry: No. 65
ΔE_f (raw) (meV per atom): -519.1
Magnetic moment (μB/f.u.): 0.00


3.
This record from Alexandria via LeMat-Bulk describes an optimized crystal structure of LiIn2Au. The functional is PBE-GGA.

a b c (Å): 5.793 5.793 3.333
angles (deg): 106.48 106.48 115.04
Atoms (fractional coordinates):
Li 0.000 0.000 0.000
In 0.000 0.500 0.000
In 0.500 0.000 0.000
Au 0.500 0.500 0.000

DFT formation energy (eV per atom): -0.1715
Crystal system: monoclinic
Uncorrected energy (eV for the cell shown): -11.35
Symmetry: No. 12
Magnetic moment (μB/f.u.): 0.00


4.
This record from Alexandria via LeMat-Bulk describes an optimized crystal structure of CaAlCd. The functional is PBE-GGA.

a b c (Å): 6.053 6.053 7.495
angles (deg): 128.10 128.10 46.26
Atoms (fractional coordinates):
Ca 0.041 0.041 0.292
Ca 0.959 0.959 0.708
Al 0.344 0.344 0.889
Al 0.656 0.656 0.111
Cd 0.329 0.329 0.274
Cd 0.671 0.671 0.726

DFT formation energy (eV per atom): -0.3062
Crystal system: monoclinic
Uncorrected energy (eV for the cell shown): -15.16
Symmetry: No. 12
Magnetic moment (μB/f.u.): 0.00


5.
This record from Alexandria via LeMat-Bulk describes an optimized crystal structure of EuLuRuAu. The functional is PBE-GGA.

a b c (Å): 4.960 4.960 4.960
angles (deg): 60.00 60.00 60.00
Atoms (fractional coordinates):
Eu 0.000 0.000 0.000
Lu 0.500 0.500 0.500
Ru 0.250 0.250 0.250
Au 0.750 0.750 0.750

DFT formation energy (eV per atom): -0.3740
Crystal system: cubic
Uncorrected energy (eV for the cell shown): -28.84
Symmetry: No. 216
Magnetic moment (μB/f.u.): 6.75


6.
This record from Alexandria via LeMat-Bulk describes an optimized crystal structure of Sm3HoSn2. The functional is PBE-GGA.

a b c (Å): 9.350 9.350 9.780
angles (deg): 114.54 114.54 28.33
Atoms (fractional coordinates):
Sm 0.052 0.052 0.189
Sm 0.309 0.309 0.609
Sm 0.350 0.350 0.019
Sm 0.650 0.650 0.981
Sm 0.691 0.691 0.391
Sm 0.948 0.948 0.811
Ho 0.114 0.114 0.620
Ho 0.886 0.886 0.380
Sn 0.248 0.248 0.223
Sn 0.496 0.496 0.646
Sn 0.504 0.504 0.354
Sn 0.752 0.752 0.777

DFT formation energy (eV per atom): -0.4986
Crystal system: monoclinic
Uncorrected energy (eV for the cell shown): -59.46
Symmetry: No. 12
Magnetic moment (μB/f.u.): 0.26


Question: Which value of magnetic moment does entry 6 give?
Answer: 0.26 μB/f.u.


Question: Which of these has the highest uncorrected energy?
Answer: LiIn2Au